Computed, not measured: a geometry-optimized HfNbPt2I structure at the GGA-PBE level of DFT.

- VASP energy: -5.81 eV/atom
- DOS(E_F): 6.08 states/eV/f.u.
- Volume: 129 Å³/f.u.

Cell: 4.903 5.369 4.903 Å, 90.00 90.00 90.00°
Sites, in units of the cell vectors:
I 0.500 0.500 0.500
Nb 0.000 0.000 0.000
Hf 0.000 0.500 0.000
Pt 0.000 0.000 0.500
Pt 0.500 0.000 0.000